Entry 1:
## Sc4HCO2 (PBE-GGA)

Data for a relaxed Sc4HCO2 crystal.

Cell and atoms, written as POSCAR:
```
Sc4HCO2
1.0
4.4878 0.2445 0.0000
-0.2444 4.4878 0.0000
-2.1217 -2.3661 4.6838
Sc H C O
4 1 1 2
Direct
0.9372 0.4372 0.0000
0.4372 0.9372 0.0000
0.1720 0.1720 0.4697
0.7023 0.7023 0.5303
0.4372 0.4372 0.0000
0.9372 0.9372 0.0000
0.1872 0.6872 0.5000
0.6872 0.1872 0.5000
```

Values from the calculation:
**Calculated density**: 3.95 g/cm3
**V**: 95 Å³/cell
**DOS(E_F)**: 3.6 states/eV per cell
**Calculated total energy**: -62.2 eV/cell

=====

Entry 2:
## Sc6H3CO2 (PBE-GGA)

Data for a relaxed Sc6H3CO2 crystal.

Cell and atoms, written as POSCAR:
```
Sc6H3CO2
1.0
-3.0402 0.5489 -0.9413
1.3489 -2.2697 -5.6803
-0.6403 -6.2231 3.9792
Sc H C O
6 3 1 2
Direct
0.3383 0.9130 0.6767
0.6759 0.5822 0.3517
0.6617 0.0870 0.3233
0.0092 0.2501 0.0184
0.9908 0.7499 0.9816
0.3241 0.4178 0.6483
0.5000 0.5000 0.0000
0.8190 0.1681 0.6380
0.1810 0.8319 0.3620
0.5000 0.0000 0.0000
0.8329 0.6650 0.6658
0.1671 0.3350 0.3342
```

Values from the calculation:
**Calculated density**: 3.67 g/cm3
**V**: 143 Å³/cell
**DOS(E_F)**: 6.6 states/eV per cell
**Calculated total energy**: -82.7 eV/cell

=====

Entry 3:
## Sc6H2C2O (PBE-GGA)

Data for a relaxed Sc6H2C2O crystal.

Cell and atoms, written as POSCAR:
```
Sc6H2C2O
1.0
5.6965 -0.0181 0.0619
-2.8313 4.9431 0.0619
-1.0261 -1.7637 5.2243
Sc H C O
6 2 2 1
Direct
0.7419 0.7419 0.7306
0.0798 0.4124 0.7321
0.2581 0.2581 0.2694
0.4124 0.0798 0.7321
0.9202 0.5876 0.2679
0.5876 0.9202 0.2679
0.8342 0.1658 0.0000
0.1658 0.8342 0.0000
0.3324 0.6676 0.5000
0.6676 0.3324 0.5000
0.0000 0.0000 0.5000
```

Values from the calculation:
**Calculated density**: 3.50 g/cm3
**V**: 148 Å³/cell
**DOS(E_F)**: 5.2 states/eV per cell
**Calculated total energy**: -78.9 eV/cell

=====

Entry 4:
## Sc6H2CO3 (PBE-GGA)

Data for a relaxed Sc6H2CO3 crystal.

Cell and atoms, written as POSCAR:
```
Sc6H2CO3
1.0
-0.3098 -1.1673 2.9963
4.6427 -4.3293 -1.2067
3.5480 6.1012 1.0022
Sc H C O
6 2 1 3
Direct
0.3331 0.9273 0.6662
0.6696 0.5914 0.3392
0.6669 0.0727 0.3338
0.9961 0.2408 0.9922
0.0039 0.7592 0.0078
0.3304 0.4086 0.6608
0.8313 0.6656 0.6626
0.1687 0.3344 0.3374
0.5000 0.0000 0.0000
0.5000 0.5000 0.0000
0.8347 0.1675 0.6694
0.1653 0.8325 0.3306
```

Values from the calculation:
**Calculated density**: 3.92 g/cm3
**V**: 140 Å³/cell
**DOS(E_F)**: 5.0 states/eV per cell
**Calculated total energy**: -89.7 eV/cell

=====

Entry 5:
## Sc8HC3O4 (PBE-GGA)

Data for a relaxed Sc8HC3O4 crystal.

Cell and atoms, written as POSCAR:
```
Sc8HC3O4
1.0
-0.3005 -6.4409 0.3662
6.2154 -0.3899 -1.7582
-1.6909 3.6059 5.0849
Sc H C O
8 1 3 4
Direct
0.2558 0.7487 0.9929
0.2559 0.7489 0.5118
0.2537 0.2609 0.5073
0.7371 0.7487 0.9929
0.2629 0.2513 0.0071
0.7463 0.7391 0.4927
0.7441 0.2511 0.4882
0.7442 0.2513 0.0071
0.0000 0.5000 0.0000
0.5000 0.5000 0.0000
0.5000 0.5000 0.5000
0.0000 0.5000 0.5000
0.5000 0.0000 0.0000
0.5000 0.0000 0.5000
0.0000 0.0000 0.0000
0.0000 0.0000 0.5000
```

Values from the calculation:
**Calculated density**: 4.00 g/cm3
**V**: 191 Å³/cell
**DOS(E_F)**: 5.0 states/eV per cell
**Calculated total energy**: -131.3 eV/cell

=====

Entry 6:
## Sm4HC2O (PBE-GGA)

Data for a relaxed Sm4HC2O crystal.

Cell and atoms, written as POSCAR:
```
Sm4HC2O
1.0
-2.8157 -3.9680 -1.6543
4.2130 -2.1532 -2.0061
0.1664 0.5788 6.3107
Sm H C O
4 1 2 1
Direct
0.0121 0.5121 0.0243
0.4879 0.9879 0.9757
0.7498 0.7498 0.4995
0.2502 0.2502 0.5005
0.7500 0.2500 0.5000
0.2500 0.7500 0.5000
0.0000 0.0000 0.0000
0.5000 0.5000 0.0000
```

Values from the calculation:
**Calculated density**: 7.78 g/cm3
**V**: 137 Å³/cell
**DOS(E_F)**: 2.4 states/eV per cell
**Calculated total energy**: -53.0 eV/cell